Entry 1:
# GGA-PBE Tb2PmDy2Y, relaxed
data_Tb2PmDy2Y
_chemical_formula_sum 'Tb4 Pm2 Dy4 Y2'
_space_group_name_H-M_alt 'P n n m'
_space_group_IT_number 58
_space_group_name_Hall '-P 2 2n'
_cell_length_a 6.9898
_cell_length_b 9.7843
_cell_length_c 5.6321
_cell_angle_alpha 90.00
_cell_angle_beta 90.00
_cell_angle_gamma 90.00
loop_
_atom_site_label
_atom_site_type_symbol
_atom_site_fract_x
_atom_site_fract_y
_atom_site_fract_z
Tb1 Tb 0.2490 0.1665 0.0000
Pm1 Pm 0.0000 0.5000 0.0000
Dy1 Dy 0.2493 0.8332 0.0000
Y1 Y 0.0000 0.0000 0.5000
# Uncorrected energy ... -4.88 eV/atom
# Density of states at the Fermi level ... 19.86 states/eV/cell

=====

Entry 2:
# GGA-PBE AcTa4Se12, relaxed
data_AcTa4Se12
_chemical_formula_sum 'Ac2 Ta8 Se24'
_space_group_name_H-M_alt 'I m -3'
_space_group_IT_number 204
_space_group_name_Hall '-I 2 2 3'
_cell_length_a 9.3949
_cell_length_b 9.3949
_cell_length_c 9.3949
_cell_angle_alpha 90.00
_cell_angle_beta 90.00
_cell_angle_gamma 90.00
loop_
_atom_site_label
_atom_site_type_symbol
_atom_site_fract_x
_atom_site_fract_y
_atom_site_fract_z
Ac1 Ac 0.0000 0.0000 0.0000
Ta1 Ta 0.2500 0.2500 0.2500
Se1 Se 0.0000 0.1636 0.3171
# Uncorrected energy ... -6.28 eV/atom
# Density of states at the Fermi level ... 15.64 states/eV/cell
# Raw formation energy ... -0.792 eV per atom

=====

Entry 3:
# GGA-PBE DyMgP2Ir5, relaxed
data_DyMgP2Ir5
_chemical_formula_sum 'Dy1 Mg1 P2 Ir5'
_space_group_name_H-M_alt 'P 4/m m m'
_space_group_IT_number 123
_space_group_name_Hall '-P 4 2'
_cell_length_a 3.9741
_cell_length_b 3.9741
_cell_length_c 10.5679
_cell_angle_alpha 90.00
_cell_angle_beta 90.00
_cell_angle_gamma 90.00
loop_
_atom_site_label
_atom_site_type_symbol
_atom_site_fract_x
_atom_site_fract_y
_atom_site_fract_z
Dy1 Dy 0.0000 0.0000 0.0000
Mg1 Mg 0.0000 0.0000 0.5000
P1 P 0.5000 0.5000 0.2159
Ir1 Ir 0.0000 0.5000 0.3221
Ir2 Ir 0.5000 0.5000 0.0000
# Uncorrected energy ... -7.20 eV/atom
# Density of states at the Fermi level ... 5.80 states/eV/cell

=====

Entry 4:
# GGA-PBE Sr3Hg5F12, relaxed
data_Sr3Hg5F12
_chemical_formula_sum 'Sr24 Hg40 F96'
_space_group_name_H-M_alt 'I a -3 d'
_space_group_IT_number 230
_space_group_name_Hall '-I 4bd 2c 3'
_cell_length_a 14.4785
_cell_length_b 14.4785
_cell_length_c 14.4785
_cell_angle_alpha 90.00
_cell_angle_beta 90.00
_cell_angle_gamma 90.00
loop_
_atom_site_label
_atom_site_type_symbol
_atom_site_fract_x
_atom_site_fract_y
_atom_site_fract_z
Sr1 Sr 0.0000 0.2500 0.1250
Hg1 Hg 0.0000 0.0000 0.0000
Hg2 Hg 0.0000 0.2500 0.3750
F1 F 0.0114 0.0745 0.6471
# Uncorrected energy ... -3.68 eV/atom
# Density of states at the Fermi level ... 52.96 states/eV/cell
# Raw formation energy ... -2.226 eV per atom

=====

Entry 5:
# GGA-PBE PrMg3Cd2, relaxed
data_PrMg3Cd2
_chemical_formula_sum 'Pr4 Mg12 Cd8'
_space_group_name_H-M_alt 'C 1 2/m 1'
_space_group_IT_number 12
_space_group_name_Hall '-C 2y'
_cell_length_a 17.1423
_cell_length_b 4.8494
_cell_length_c 7.6882
_cell_angle_alpha 90.00
_cell_angle_beta 110.88
_cell_angle_gamma 90.00
loop_
_atom_site_label
_atom_site_type_symbol
_atom_site_fract_x
_atom_site_fract_y
_atom_site_fract_z
Pr1 Pr 0.1188 0.0000 0.1878
Mg1 Mg 0.0706 0.0000 0.7011
Mg2 Mg 0.1239 0.5000 0.5079
Mg3 Mg 0.1972 0.5000 0.9294
Cd1 Cd 0.0200 0.5000 0.8343
Cd2 Cd 0.2353 0.0000 0.6594
# Uncorrected energy ... -2.08 eV/atom
# Density of states at the Fermi level ... 14.77 states/eV/cell

=====

Entry 6:
# GGA-PBE AlTl, relaxed
data_AlTl
_chemical_formula_sum 'Al4 Tl4'
_space_group_name_H-M_alt 'F m -3 m'
_space_group_IT_number 225
_space_group_name_Hall '-F 4 2 3'
_cell_length_a 5.8677
_cell_length_b 5.8677
_cell_length_c 5.8677
_cell_angle_alpha 90.00
_cell_angle_beta 90.00
_cell_angle_gamma 90.00
loop_
_atom_site_label
_atom_site_type_symbol
_atom_site_fract_x
_atom_site_fract_y
_atom_site_fract_z
Al1 Al 0.0000 0.0000 0.0000
Tl1 Tl 0.0000 0.0000 0.5000
# Uncorrected energy ... -2.68 eV/atom
# Density of states at the Fermi level ... 1.93 states/eV/cell

=====

Entry 7:
# GGA-PBE Ag2TeAu, relaxed
data_Ag2TeAu
_chemical_formula_sum 'Ag8 Te4 Au4'
_space_group_name_H-M_alt 'P 1 21/c 1'
_space_group_IT_number 14
_space_group_name_Hall '-P 2ybc'
_cell_length_a 9.8559
_cell_length_b 7.4671
_cell_length_c 4.8038
_cell_angle_alpha 90.00
_cell_angle_beta 99.71
_cell_angle_gamma 90.00
loop_
_atom_site_label
_atom_site_type_symbol
_atom_site_fract_x
_atom_site_fract_y
_atom_site_fract_z
Ag1 Ag 0.1212 0.1210 0.0241
Ag2 Ag 0.3505 0.6470 0.6953
Te1 Te 0.3434 0.0576 0.6998
Au1 Au 0.0984 0.6379 0.9848
# Uncorrected energy ... -3.03 eV/atom
# Density of states at the Fermi level ... 4.73 states/eV/cell
# Raw formation energy ... 0.001 eV per atom

=====

Number 3 is which compound? DyMgP2Ir5

=====

Copy entry 7 word for word.
# GGA-PBE Ag2TeAu, relaxed
data_Ag2TeAu
_chemical_formula_sum 'Ag8 Te4 Au4'
_space_group_name_H-M_alt 'P 1 21/c 1'
_space_group_IT_number 14
_space_group_name_Hall '-P 2ybc'
_cell_length_a 9.8559
_cell_length_b 7.4671
_cell_length_c 4.8038
_cell_angle_alpha 90.00
_cell_angle_beta 99.71
_cell_angle_gamma 90.00
loop_
_atom_site_label
_atom_site_type_symbol
_atom_site_fract_x
_atom_site_fract_y
_atom_site_fract_z
Ag1 Ag 0.1212 0.1210 0.0241
Ag2 Ag 0.3505 0.6470 0.6953
Te1 Te 0.3434 0.0576 0.6998
Au1 Au 0.0984 0.6379 0.9848
# Uncorrected energy ... -3.03 eV/atom
# Density of states at the Fermi level ... 4.73 states/eV/cell
# Raw formation energy ... 0.001 eV per atom

=====

The highest uncorrected energy belongs to which entry? PrMg3Cd2